Model a:
# BaTl2PdPb

BaTl2PdPb after structural relaxation (PBE, Alexandria via LeMat-Bulk).

Computed properties:
Its total moment is 0.000 μB per atom.

Cell lengths 5.3646, 5.3646, 5.9161 Å; angles 90.00, 90.00, 90.00 degrees
Space group P4/mmm (No. 123)
One atom of each set of equivalent atoms:
Ba: 0.0000 0.0000 0.0000 [1 per cell]
Tl: 0.0000 0.5000 0.5000 [2 per cell]
Pd: 0.0000 0.0000 0.5000 [1 per cell]
Pb: 0.5000 0.5000 0.0000 [1 per cell]

***

Model b:
# BaTl2PdPb

BaTl2PdPb after structural relaxation (PBE, Alexandria via LeMat-Bulk).

Computed properties:
Its total moment is 0.000 μB per atom.

Cell lengths 5.7873, 5.7873, 6.8950 Å; angles 90.00, 90.00, 90.00 degrees
Space group P4/mmm (No. 123)
One atom of each set of equivalent atoms:
Ba: 0.0000 0.0000 0.0000 [1 per cell]
Tl: 0.0000 0.5000 0.5000 [2 per cell]
Pd: 0.5000 0.5000 0.0000 [1 per cell]
Pb: 0.0000 0.0000 0.5000 [1 per cell]

***

Which structure is the least stable? The one labeled model b.